First-principles (GGA+U) data for crystalline KPrFeBiO6 at its relaxed geometry, as listed in the Alexandria database.

Lattice parameters (Å, degrees): 5.7808 5.7808 5.7808 60.00 60.00 60.00
Closest atoms and distances in Å follow each position.
Fractional coordinates of all 10 atoms:
1 K 0.7500 0.7500 0.7500  12 O 2.89
2 Pr 0.2500 0.2500 0.2500  12 O 2.89
3 Fe 0.5000 0.5000 0.5000  6 O 1.99
4 Bi 0.0000 0.0000 0.0000  6 O 2.09
5 O 0.2562 0.7438 0.2562  1 Fe 1.99, 1 Bi 2.09
6 O 0.7438 0.2562 0.7438  1 Fe 1.99, 1 Bi 2.09
7 O 0.2562 0.7438 0.7438  1 Fe 1.99, 1 Bi 2.09
8 O 0.7438 0.2562 0.2562  1 Fe 1.99, 1 Bi 2.09
9 O 0.2562 0.2562 0.7438  1 Fe 1.99, 1 Bi 2.09
10 O 0.7438 0.7438 0.2562  1 Fe 1.99, 1 Bi 2.09

Density: 6.6 Mg/m³
Energy: -6.15 eV per atom
Size of the total moment: 4.98 μB per formula unit
Space-group type: No. 216